A relaxed structure of FeTcGe2P, computed with PBE.

a = 4.7180 Å, b = 4.7408 Å, c = 4.7180 Å
α = 90.00°, β = 90.00°, γ = 90.00°
Sites, in units of the cell vectors:
1 Ge 0.0000 0.0000 0.5000
2 Ge 0.5000 0.0000 0.0000
3 P 0.5000 0.5000 0.5000
4 Tc 0.0000 0.0000 0.0000
5 Fe 0.0000 0.5000 0.0000

Computed properties:
- SG = P4/mmm
- N(E_F) (states/eV/f.u.) = 7.41
- ΔH_f (0 K) (meV per atom) = 1002
- theoretical density (g/cm3) = 5.19
- magnetization (μB/f.u.) = 2.95



A relaxed structure of Pr2Sm7Ho3, computed with PBE.

a = 3.5664 Å, b = 6.4378 Å, c = 18.1722 Å
α = 75.40°, β = 90.00°, γ = 90.00°
Sites, in units of the cell vectors:
1 Sm 0.0000 0.4405 0.8365
2 Sm 0.0000 0.5595 0.1635
3 Sm 0.5000 0.9398 0.8317
4 Sm 0.5000 0.2396 0.5025
5 Sm 0.5000 0.7604 0.4975
6 Sm 0.5000 0.0602 0.1683
7 Sm 0.0000 0.0000 0.0000
8 Pr 0.5000 0.3872 0.6713
9 Pr 0.5000 0.6128 0.3287
10 Ho 0.0000 0.1119 0.3414
11 Ho 0.5000 0.5000 0.0000
12 Ho 0.0000 0.8881 0.6586

Computed properties:
- energy relative to the lowest polymorph listed for this composition (meV per atom) = 0
- SG = P2/m
- N(E_F) (states/eV/f.u.) = 17.98
- ΔH_f (0 K) (meV per atom) = 69
- theoretical density (g/cm3) = 7.52
- magnetization (μB/f.u.) = 0.00



A relaxed structure of Cu2PSe, computed with PBE.

a = 3.6994 Å, b = 2.6590 Å, c = 6.8638 Å
α = 93.99°, β = 90.00°, γ = 90.00°
Sites, in units of the cell vectors:
1 Cu 0.5000 0.2273 0.2587
2 Cu 0.0000 0.7346 0.0421
3 P 0.0000 0.7391 0.3867
4 Se 0.5000 0.7991 0.8125

Computed properties:
- SG = Pm
- N(E_F) (states/eV/f.u.) = 2.54
- theoretical density (g/cm3) = 5.84
- magnetization (μB/f.u.) = 0.00
- formation energy (no corrections) (eV/atom) = 0.10



A relaxed structure of Tb4Nd2Sm7, computed with PBE.

a = 8.0873 Å, b = 9.5671 Å, c = 6.2531 Å
α = 96.23°, β = 97.42°, γ = 65.04°
Sites, in units of the cell vectors:
1 Tb 0.9231 0.8475 0.4625
2 Tb 0.3832 0.7712 0.6927
3 Tb 0.6168 0.2288 0.3073
4 Tb 0.0769 0.1525 0.5375
5 Sm 0.7701 0.5385 0.3857
6 Sm 0.5381 0.0769 0.7687
7 Sm 0.4619 0.9231 0.2313
8 Sm 0.8452 0.6937 0.9242
9 Sm 0.0000 0.0000 0.0000
10 Sm 0.1548 0.3063 0.0758
11 Sm 0.2299 0.4615 0.6143
12 Nd 0.3073 0.6160 0.1550
13 Nd 0.6927 0.3840 0.8450

Computed properties:
- SG = P-1
- N(E_F) (states/eV/f.u.) = 18.58
- ΔH_f (0 K) (meV per atom) = 14
- theoretical density (g/cm3) = 7.56
- magnetization (μB/f.u.) = 0.00



Question: The highest theoretical density belongs to which entry?
Answer: Tb4Nd2Sm7